Na2Be2NiO4: relaxed, PBE+U.

## Properties
Crystal system   monoclinic
Calculated volume   98.6 Å³/cell
VASP energy   -5.462 eV per atom
Symmetry   C2/m

Cell lengths 7.0105, 7.0105, 5.0869 Å; angles 94.07, 94.07, 23.28 degrees
With the nearest neighbours (Å) after each atom.
Atoms (fractional coordinates):
Na  0.1485  0.1485  0.0768  5 O 2.28-2.51
Na  0.8515  0.8515  0.9232  5 O 2.28-2.51
Be  0.3113  0.3113  0.4616  4 O 1.61-1.74
Be  0.6887  0.6887  0.5384  4 O 1.61-1.74
Ni  0.0000  0.0000  0.5000  4 O 1.91
O  0.2221  0.2221  0.6887  3 Be 1.66-1.74
O  0.4188  0.4188  0.6126  1 Be 1.61
O  0.5812  0.5812  0.3874  1 Be 1.61
O  0.7779  0.7779  0.3113  3 Be 1.66-1.74